(1)
## Re2Pt (PBE)

Data for a geometry-optimized Re2Pt structure.

Cell and atoms, written as POSCAR:
```
Re2Pt
1.0
3.298 0.000 0.000
-1.649 4.574 -0.006
0.000 1.193 3.075
Pt Re
1 2
Direct
0.000 0.000 0.000
0.323 0.646 0.677
0.677 0.354 0.323
```

Calculated values
density of states at the Fermi level	2.81	states/eV per cell
calculated formation energy	20.4	kJ per mole of atoms
crystal system	tetragonal

***

(2)
## HfTaSiSb2 (PBE)

Data for a geometry-optimized HfTaSiSb2 structure.

Cell and atoms, written as POSCAR:
```
HfTaSiSb2
1.0
5.039 0.000 0.000
0.000 4.810 0.000
0.000 0.000 5.039
Sb Si Hf Ta
2 1 1 1
Direct
0.000 0.000 0.500
0.500 0.000 0.000
0.000 0.000 0.000
0.000 0.500 0.000
0.500 0.500 0.500
```

Calculated values
density of states at the Fermi level	6.55	states/eV per cell
energy relative to the elements, uncorrected	1.09	eV per atom
crystal system	tetragonal

***

(3)
## LaIr2Ru (PBE)

Data for a geometry-optimized LaIr2Ru structure.

Cell and atoms, written as POSCAR:
```
LaIr2Ru
1.0
4.945 0.000 0.000
0.000 4.945 0.000
0.000 0.000 2.948
Ir La Ru
2 1 1
Direct
0.000 0.000 0.000
0.500 0.500 0.000
0.500 0.000 0.500
0.000 0.500 0.500
```

Calculated values
density of states at the Fermi level	4.21	states/eV per cell
calculated formation energy	16.8	kJ per mole of atoms
crystal system	tetragonal

***

(4)
## Co3SiGe2 (PBE)

Data for a geometry-optimized Co3SiGe2 structure.

Cell and atoms, written as POSCAR:
```
Co3SiGe2
1.0
4.565 0.001 0.000
-0.020 4.570 0.001
-0.055 -0.111 13.697
Co Si Ge
12 4 8
Direct
0.641 0.134 0.212
0.634 0.133 0.543
0.633 0.134 0.879
0.139 0.368 0.122
0.147 0.362 0.452
0.145 0.364 0.788
0.364 0.646 0.284
0.360 0.644 0.621
0.358 0.646 0.956
0.862 0.859 0.052
0.863 0.854 0.378
0.863 0.861 0.715
0.340 0.837 0.116
0.340 0.838 0.444
0.339 0.840 0.780
0.841 0.664 0.218
0.840 0.659 0.551
0.839 0.661 0.887
0.655 0.343 0.056
0.660 0.340 0.384
0.657 0.341 0.721
0.159 0.157 0.279
0.161 0.156 0.613
0.159 0.157 0.948
```

Calculated values
density of states at the Fermi level	15.64	states/eV per cell
energy relative to the elements, uncorrected	-0.33	eV per atom
crystal system	triclinic

***

(5)
## YPb5 (PBE)

Data for a geometry-optimized YPb5 structure.

Cell and atoms, written as POSCAR:
```
YPb5
1.0
6.631 0.057 -0.056
5.655 3.463 -0.056
2.253 0.646 8.035
Pb Y
5 1
Direct
0.003 0.003 0.003
0.666 0.666 0.668
0.330 0.330 0.326
0.387 0.387 0.731
0.056 0.056 0.388
0.724 0.724 0.051
```

Calculated values
density of states at the Fermi level	3.37	states/eV per cell
calculated formation energy	-10.7	kJ per mole of atoms
crystal system	monoclinic

***

(6)
## Li2OsPd (PBE)

Data for a geometry-optimized Li2OsPd structure.

Cell and atoms, written as POSCAR:
```
Li2OsPd
1.0
-1.818 -2.253 -5.978
-4.704 -3.733 2.837
-4.913 -1.078 -1.789
Os Pd Li
2 2 4
Direct
0.000 0.000 0.000
0.750 0.250 0.500
0.500 0.500 0.000
0.250 0.750 0.500
0.615 0.125 0.250
0.135 0.625 0.250
0.375 0.385 0.750
0.875 0.865 0.750
```

Calculated values
density of states at the Fermi level	7.55	states/eV per cell
calculated formation energy	59.6	kJ per mole of atoms
crystal system	tetragonal

***

(7)
## Ce6TlOs2 (PBE)

Data for a geometry-optimized Ce6TlOs2 structure.

Cell and atoms, written as POSCAR:
```
Ce6TlOs2
1.0
4.737 0.000 0.000
-2.369 5.288 -0.227
0.000 -0.131 8.983
Ce Tl Os
6 1 2
Direct
0.067 0.135 0.866
0.602 0.204 0.172
0.398 0.796 0.828
0.708 0.415 0.602
0.292 0.585 0.398
0.933 0.865 0.134
0.000 0.000 0.500
0.738 0.475 0.885
0.262 0.525 0.115
```

Calculated values
density of states at the Fermi level	17.88	states/eV per cell
calculated formation energy	-20.9	kJ per mole of atoms
crystal system	monoclinic

***

(8)
## AgPd2Rh2 (PBE)

Data for a geometry-optimized AgPd2Rh2 structure.

Cell and atoms, written as POSCAR:
```
AgPd2Rh2
1.0
-6.705 -2.392 2.822
0.556 -6.427 -4.126
1.327 -1.236 2.105
Rh Pd Ag
4 4 2
Direct
0.383 0.883 0.000
0.883 0.617 0.000
0.617 0.117 0.000
0.117 0.383 0.000
0.181 0.681 0.500
0.681 0.819 0.500
0.819 0.319 0.500
0.319 0.181 0.500
0.000 0.000 0.000
0.500 0.500 0.000
```

Calculated values
density of states at the Fermi level	18.18	states/eV per cell
calculated formation energy	25.3	kJ per mole of atoms
crystal system	tetragonal

***

The size of the total moment results, record by record, are as follows: 0.00 0.00 0.81 0.00 0.00 0.00 0.94 1.40 μB/f.u..